Computed, not measured: ScBiS2 after structural relaxation at the GGA-PBE level of DFT.

Uncorrected formation energy, kJ/mol of formula units: -475
Crystal system: trigonal
Fermi-level density of states, states/eV per cell: 0.60

Unit cell a=8.7163 b=8.7163 c=8.7163 alpha=24.46 beta=24.46 gamma=24.46
Last column: nearest neighbours and their distance in Å.
Positions (direct):
S 0.8899 0.8899 0.8899  3 Sc 2.57, 1 Bi 2.79
S 0.1101 0.1101 0.1101  3 Sc 2.57, 1 Bi 2.79
Bi 0.0000 0.0000 0.0000  2 S 2.79
Sc 0.5000 0.5000 0.5000  6 S 2.57